VASP calculation (PBE-GGA) on a geometry-optimized CsLiRuSe2 structure.

Cell: 4.972 5.152 4.972 Å, 90.00 90.00 90.00°
Sites, in units of the cell vectors:
Cs  0.500  0.500  0.500
Ru  0.000  0.000  0.000
Se  0.000  0.000  0.500
Se  0.500  0.000  0.000
Li  0.000  0.500  0.000

## Properties
* E_form (uncorrected): -0.28 eV per atom
* SG: P4/mmm (123)
* VASP energy: -4.082 eV/atom